Entry 1:
A plane-wave DFT calculation with GGA+U was carried out for La2GaFeO6 after structural relaxation.

Results
Symmetry: P2_1/c
V, Å³/f.u.: 120

Lattice parameters (Å, degrees): 5.5317 5.5387 7.8026 90.00 89.99 90.00
With the nearest neighbours (Å) after each atom.
Atoms (fractional coordinates):
O 0.7210 0.7178 0.0399  1 Fe 1.98, 1 Ga 2.01
La 0.4928 0.5316 0.7500  6 O 2.41-2.63
O 0.0737 0.5121 0.2487  1 Fe 1.98, 1 Ga 2.00
O 0.7790 0.2178 0.4601  1 Fe 1.98, 1 Ga 2.01
O 0.9263 0.4879 0.7513  1 Fe 1.98, 1 Ga 2.00
O 0.4263 0.0121 0.2513  1 Fe 1.98, 1 Ga 2.00
La 0.9928 0.9684 0.2500  6 O 2.41-2.63
O 0.2790 0.2822 0.9601  1 Fe 1.98, 1 Ga 2.01
O 0.5737 0.9879 0.7487  1 Fe 1.98, 1 Ga 2.00
Ga 0.5000 0.0000 0.0000  6 O 2.00-2.01
O 0.2182 0.7793 0.9607  1 Fe 1.99, 1 Ga 2.00
O 0.2818 0.2793 0.5393  1 Fe 1.99, 1 Ga 2.00
Fe 0.5000 0.0000 0.5000  6 O 1.98-1.99
O 0.7818 0.2207 0.0393  1 Fe 1.99, 1 Ga 2.00
O 0.7182 0.7207 0.4607  1 Fe 1.99, 1 Ga 2.00
Ga 0.0000 0.5000 0.5000  6 O 2.00-2.01
La 0.0072 0.0316 0.7500  6 O 2.41-2.63
La 0.5072 0.4684 0.2500  6 O 2.41-2.63
O 0.2210 0.7822 0.5399  1 Fe 1.98, 1 Ga 2.01
Fe 0.0000 0.5000 0.0000  6 O 1.98-1.99

---

Entry 2:
A plane-wave DFT calculation with GGA+U was carried out for LaGaFeO4 after structural relaxation.

Results
Symmetry: Imma
V, Å³/f.u.: 97

Lattice parameters (Å, degrees): 6.4203 6.4383 6.4383 63.89 60.09 60.09
With the nearest neighbours (Å) after each atom.
Atoms (fractional coordinates):
O 0.7526 0.2350 0.7350  1 Ga 1.91, 1 Fe 2.08
La 0.0000 0.5000 0.5000  6 O 2.37-2.40
O 0.2678 0.7209 0.7436  1 Ga 1.93
Ga 0.3854 0.3646 0.8646  4 O 1.91-1.93
O 0.2774 0.2350 0.7350  1 Ga 1.91, 1 Fe 2.08
O 0.2678 0.2436 0.2209  1 Ga 1.93
O 0.7226 0.7650 0.2650  1 Ga 1.91, 1 Fe 2.08
O 0.7322 0.7564 0.7791  1 Ga 1.93
Fe 0.0000 0.0000 0.5000  2 O 2.08
O 0.7322 0.2791 0.2564  1 Ga 1.93
Fe 0.5000 0.0000 0.5000  2 O 2.08
La 0.0000 0.0000 0.0000  6 O 2.37-2.40
Ga 0.6146 0.6354 0.1354  4 O 1.91-1.93
O 0.2474 0.7650 0.2650  1 Ga 1.91, 1 Fe 2.08

---

| no. | calculated total energy (eV per atom) |
| --- | --- |
| 1 | -7.263 |
| 2 | -6.897 |